{"formula": "TaZnCuPd", "functional": "PBE", "state": "optimized geometry", "lattice_angstrom": [[-4.196, -1.061, 0.726], [-1.464, -0.471, 4.110], [-2.750, 2.965, 1.703]], "species": ["Zn", "Cu", "Pd", "Ta"], "fractional_positions": [[0.500, 0.500, 0.500], [0.250, 0.250, 0.250], [0.750, 0.750, 0.750], [0.000, 0.000, 0.000]]}

---

{"formula": "Tb3Cu8Pd", "functional": "PBE", "state": "optimized geometry", "lattice_angstrom": [[5.117, 0.000, 0.000], [2.559, 4.431, 0.000], [2.559, 1.477, 8.518]], "species": ["Tb", "Tb", "Tb", "Cu", "Cu", "Cu", "Cu", "Cu", "Cu", "Cu", "Cu", "Pd"], "fractional_positions": [[0.380, 0.380, 0.861], [0.989, 0.989, 0.034], [0.510, 0.510, 0.471], [0.944, 0.433, 0.190], [0.439, 0.939, 0.683], [0.433, 0.433, 0.190], [0.939, 0.939, 0.683], [0.188, 0.188, 0.437], [0.687, 0.687, 0.939], [0.433, 0.944, 0.190], [0.939, 0.439, 0.683], [0.870, 0.870, 0.389]]}

---

{"formula": "TbCu2Pd", "functional": "PBE", "state": "optimized geometry", "lattice_angstrom": [[-3.905, 0.841, -1.722], [-3.025, -3.122, -0.159], [-3.773, 0.459, 3.287]], "species": ["Tb", "Cu", "Cu", "Pd"], "fractional_positions": [[0.000, 0.000, 0.000], [0.786, 0.786, 0.641], [0.214, 0.214, 0.359], [0.500, 0.500, 0.500]]}

---

{"formula": "Tb5Cu2Pd", "functional": "PBE", "state": "optimized geometry", "lattice_angstrom": [[6.422, 0.000, -3.032], [-1.431, 6.261, -3.032], [0.419, 0.526, 9.206]], "species": ["Tb", "Tb", "Tb", "Tb", "Tb", "Tb", "Tb", "Tb", "Tb", "Tb", "Cu", "Cu", "Cu", "Cu", "Pd", "Pd"], "fractional_positions": [[0.522, 0.680, 0.702], [0.820, 0.978, 0.298], [0.000, 0.000, 0.000], [0.500, 0.500, 0.000], [0.180, 0.022, 0.702], [0.680, 0.180, 0.702], [0.022, 0.522, 0.702], [0.320, 0.820, 0.298], [0.978, 0.478, 0.298], [0.478, 0.320, 0.298], [0.123, 0.377, 0.000], [0.623, 0.123, 0.000], [0.377, 0.877, 0.000], [0.877, 0.623, 0.000], [0.750, 0.750, 0.500], [0.250, 0.250, 0.500]]}

---

{"formula": "Tb4CuPd", "functional": "PBE", "state": "optimized geometry", "lattice_angstrom": [[-7.688, -0.453, -1.556], [2.486, -0.623, 7.427], [2.054, 7.261, -2.189]], "species": ["Tb", "Tb", "Tb", "Tb", "Tb", "Tb", "Tb", "Tb", "Cu", "Cu", "Pd", "Pd"], "fractional_positions": [[0.251, 0.954, 0.703], [0.749, 0.458, 0.709], [0.704, 0.501, 0.203], [0.208, 0.999, 0.209], [0.298, 0.501, 0.797], [0.790, 0.999, 0.791], [0.749, 0.040, 0.291], [0.251, 0.548, 0.297], [0.754, 0.754, 0.000], [0.504, 0.004, 0.500], [0.246, 0.246, 0.000], [0.996, 0.496, 0.500]]}

---

{"formula": "TbCuPd", "functional": "PBE", "state": "optimized geometry", "lattice_angstrom": [[-1.006, 3.120, -1.421], [-0.831, -1.659, -3.053], [-3.212, -1.387, 3.718]], "species": ["Tb", "Pd", "Cu"], "fractional_positions": [[0.948, 0.948, 0.896], [0.278, 0.278, 0.556], [0.624, 0.624, 0.248]], "polymorph_energy_mev_per_atom": 103.8}

---

Quick rundown of calculated formation energy, same order as above: -0.132; -0.251; -0.338; -0.320; -0.131; -0.510 eV per atom
Quick rundown of V, same order as above: 14.938; 16.096; 17.830; 24.414; 30.386; 18.876 Å³ per atom
Quick rundown of raw total energy, same order as above: -22.944; -54.859; -19.366; -78.186; -57.189; -15.448 eV per cell